# 1
Compound: Pm3Tm4Au4
Source: the Alexandria database
Functional: PBE
Structure: optimized geometry

a b c (Å): 4.8234 7.7404 9.0449
angles (deg): 115.33 105.46 90.00
Atoms (fractional coordinates):
Au: 0.2078 0.7078 0.4156
Au: 0.5000 0.8097 0.0000
Au: 0.5000 0.1903 0.0000
Au: 0.7922 0.2922 0.5844
Tm: 0.6732 0.4611 0.3465
Tm: 0.6732 0.8854 0.3465
Tm: 0.3268 0.1146 0.6535
Pm: 0.1039 0.1039 0.2078
Pm: 0.8961 0.8961 0.7922
Pm: 0.0000 0.5000 0.0000
Tm: 0.3268 0.5389 0.6535

Output
The calculation puts the total energy at -4.71 eV/atom. As for the symmetry: Immm.

# 2
Compound: YIr2Pt
Source: the Alexandria database
Functional: PBE
Structure: optimized geometry

a b c (Å): 9.6207 9.6207 9.6207
angles (deg): 17.26 17.26 17.26
Atoms (fractional coordinates):
Ir: 0.9928 0.9928 0.9928
Pt: 0.5054 0.5054 0.5054
Ir: 0.2520 0.2520 0.2520
Y: 0.7498 0.7498 0.7498

Output
As for the symmetry: R3m. Its distance to the lowest polymorph of the same formula is 679 meV/atom.

# 3
Compound: MgVFeIr
Source: the Alexandria database
Functional: PBE
Structure: optimized geometry

a b c (Å): 4.2286 4.2286 4.2286
angles (deg): 60.00 60.00 60.00
Atoms (fractional coordinates):
Ir: 0.0000 0.0000 0.0000
Mg: 0.2500 0.2500 0.2500
Fe: 0.5000 0.5000 0.5000
V: 0.7500 0.7500 0.7500

Output
The calculation puts the total energy at -7.23 eV/atom. As for the symmetry: F-43m.

# 4
Compound: K2TlW
Source: the Alexandria database
Functional: PBE
Structure: optimized geometry

a b c (Å): 6.4501 6.7198 3.0115
angles (deg): 87.14 68.73 113.49
Atoms (fractional coordinates):
K: 0.5000 0.0000 0.5000
K: 0.0000 0.0000 0.0000
Tl: 0.0000 0.5000 0.5000
W: 0.5000 0.5000 0.0000

Output
As for the symmetry: C2/m. Its distance to the lowest polymorph of the same formula is 261 meV/atom.

# 5
Compound: SrDySe2O8
Source: the Alexandria database
Functional: PBE
Structure: optimized geometry

a b c (Å): 5.7575 5.7575 7.3520
angles (deg): 90.00 90.00 120.00
Atoms (fractional coordinates):
O: 0.8357 0.1640 0.2891
O: 0.1643 0.8360 0.7109
Dy: 0.0000 0.0000 0.5000
Se: 0.6667 0.3333 0.2237
O: 0.6717 0.8357 0.7109
O: 0.8360 0.6717 0.2891
O: 0.1640 0.3283 0.7109
Se: 0.3333 0.6667 0.7763
O: 0.6667 0.3333 0.9975
O: 0.3333 0.6667 0.0025
O: 0.3283 0.1643 0.2891
Sr: 0.0000 0.0000 0.0000

Output
The calculation puts the total energy at -6.05 eV/atom. As for the symmetry: P-3m1.

# 6
Compound: Nb2InSnSe
Source: the Alexandria database
Functional: PBE
Structure: optimized geometry

a b c (Å): 4.8261 5.4645 4.8261
angles (deg): 90.00 90.00 90.00
Atoms (fractional coordinates):
Nb: 0.5000 0.0000 0.0000
Se: 0.0000 0.0000 0.0000
Sn: 0.0000 0.5000 0.0000
In: 0.5000 0.5000 0.5000
Nb: 0.0000 0.0000 0.5000

Output
The calculation puts the total energy at -5.37 eV/atom. As for the symmetry: P4/mmm.

# 7
Compound: Sm3Cd2Au3
Source: the Alexandria database
Functional: PBE
Structure: optimized geometry

a b c (Å): 3.6789 5.1691 10.7511
angles (deg): 103.91 99.85 90.00
Atoms (fractional coordinates):
Cd: 0.2641 0.7641 0.5281
Cd: 0.7359 0.2359 0.4719
Sm: 0.6287 0.6287 0.2574
Sm: 0.5000 0.0000 0.0000
Au: 0.1203 0.1203 0.2406
Au: 0.8797 0.8797 0.7594
Sm: 0.3713 0.3713 0.7426
Au: 0.0000 0.5000 0.0000

Output
As for the symmetry: Immm. Its distance to the lowest polymorph of the same formula is 48 meV/atom.

# 8
Compound: CuRuPt2
Source: the Alexandria database
Functional: PBE
Structure: optimized geometry

a b c (Å): 4.7089 4.7089 4.7089
angles (deg): 131.39 131.39 71.20
Atoms (fractional coordinates):
Pt: 0.0000 0.0000 0.0000
Cu: 0.7500 0.2500 0.5000
Ru: 0.5000 0.5000 0.0000
Pt: 0.2500 0.7500 0.5000

Output
As for the symmetry: I-4m2. Its distance to the lowest polymorph of the same formula is 77 meV/atom.

# 9
Compound: PmPuTc2
Source: the Alexandria database
Functional: PBE
Structure: optimized geometry

a b c (Å): 4.8481 4.8481 4.8481
angles (deg): 60.00 60.00 60.00
Atoms (fractional coordinates):
Pu: 0.0000 0.0000 0.0000
Pm: 0.5000 0.5000 0.5000
Tc: 0.7500 0.7500 0.7500
Tc: 0.2500 0.2500 0.2500

Output
As for the symmetry: Fm-3m. Its distance to the lowest polymorph of the same formula is 91 meV/atom.

# 10
Compound: KRbBa2Ti
Source: the Alexandria database
Functional: PBE
Structure: optimized geometry

a b c (Å): 6.6724 7.2663 6.6724
angles (deg): 90.00 90.00 90.00
Atoms (fractional coordinates):
Ba: 0.5000 0.0000 0.0000
Ba: 0.0000 0.0000 0.5000
K: 0.0000 0.5000 0.0000
Rb: 0.5000 0.5000 0.5000
Ti: 0.0000 0.0000 0.0000

Output
The calculation puts the total energy at -2.15 eV/atom. As for the symmetry: P4/mmm.

# 11
Compound: BaScCu2
Source: the Alexandria database
Functional: PBE
Structure: optimized geometry

a b c (Å): 5.5810 5.5810 5.5810
angles (deg): 133.78 133.78 67.43
Atoms (fractional coordinates):
Cu: 0.0000 0.0000 0.0000
Sc: 0.5000 0.5000 0.0000
Cu: 0.2500 0.7500 0.5000
Ba: 0.7500 0.2500 0.5000

Output
As for the symmetry: I-4m2. Its distance to the lowest polymorph of the same formula is 423 meV/atom.

# 12
Compound: AgIrAu2
Source: the Alexandria database
Functional: PBE
Structure: optimized geometry

a b c (Å): 2.8102 2.8102 9.9719
angles (deg): 90.00 90.00 119.33
Atoms (fractional coordinates):
Ag: 0.5000 0.5000 0.7437
Au: 0.0000 0.0000 0.9977
Au: 0.5000 0.5000 0.2570
Ir: 0.0000 0.0000 0.5016

Output
As for the symmetry: Cmm2. Its distance to the lowest polymorph of the same formula is 30 meV/atom.

# 13
Compound: GaHSe2
Source: the Alexandria database
Functional: PBE
Structure: optimized geometry

a b c (Å): 5.3639 5.3639 6.5694
angles (deg): 65.91 65.91 90.00
Atoms (fractional coordinates):
Se: 0.3750 0.4144 0.7500
Se: 0.1644 0.6250 0.2500
H: 0.5000 0.5000 0.0000
Ga: 0.7500 0.2500 0.5000
H: 0.2500 0.7500 0.5000
Ga: 0.0000 0.0000 0.0000
Se: 0.8750 0.8356 0.7500
Se: 0.5856 0.1250 0.2500

Output
As for the symmetry: I-42d. Its distance to the lowest polymorph of the same formula is 277 meV/atom.

# 14
Compound: Li5HgAu
Source: the Alexandria database
Functional: PBE
Structure: optimized geometry

a b c (Å): 4.7790 4.7790 11.0289
angles (deg): 89.88 89.88 82.83
Atoms (fractional coordinates):
Hg: 0.6106 0.3894 0.2500
Li: 0.8678 0.5383 0.8926
Li: 0.4615 0.1289 0.8914
Li: 0.4617 0.1322 0.6074
Li: 0.5385 0.8711 0.1086
Au: 0.0000 0.0000 0.5000
Au: 0.0000 0.0000 0.0000
Li: 0.5383 0.8678 0.3926
Li: 0.1322 0.4617 0.1074
Li: 0.8711 0.5385 0.6086
Li: 0.0427 0.9573 0.2500
Hg: 0.3894 0.6106 0.7500
Li: 0.1289 0.4615 0.3914
Li: 0.9573 0.0427 0.7500

Output
As for the symmetry: C2/c. Its distance to the lowest polymorph of the same formula is 0 meV/atom.

# 15
Compound: KMnFeCl5
Source: the Alexandria database
Functional: PBE
Structure: optimized geometry

a b c (Å): 7.2674 7.2674 9.2544
angles (deg): 103.09 103.09 106.55
Atoms (fractional coordinates):
Mn: 0.0000 0.0000 0.0000
Mn: 0.0000 0.0000 0.5000
Cl: 0.7543 0.6211 0.4331
Cl: 0.2457 0.3789 0.5669
Cl: 0.6211 0.7543 0.9331
Fe: 0.3153 0.6847 0.7500
Cl: 0.3789 0.2457 0.0669
K: 0.3393 0.6607 0.2500
Cl: 0.3121 0.9074 0.6083
Fe: 0.6847 0.3153 0.2500
Cl: 0.6879 0.0926 0.3917
Cl: 0.0698 0.9302 0.2500
Cl: 0.0926 0.6879 0.8917
K: 0.6607 0.3393 0.7500
Cl: 0.9302 0.0698 0.7500
Cl: 0.9074 0.3121 0.1083

Output
The calculation puts the total energy at -4.64 eV/atom. As for the symmetry: C2/c.

# 16
Compound: Ba2LaCeO6
Source: the Alexandria database
Functional: PBE
Structure: optimized geometry

a b c (Å): 6.3436 6.3964 8.9946
angles (deg): 90.00 89.83 90.00
Atoms (fractional coordinates):
Ce: 0.5000 0.0000 0.0000
O: 0.2931 0.7224 0.0483
O: 0.7762 0.7928 0.9542
O: 0.2762 0.7072 0.4542
O: 0.7238 0.2928 0.5458
La: 0.5000 0.0000 0.5000
Ba: 0.9898 0.0328 0.7501
Ba: 0.5102 0.5328 0.7499
Ce: 0.0000 0.5000 0.5000
Ba: 0.4898 0.4672 0.2501
O: 0.9145 0.5272 0.2585
O: 0.4145 0.9728 0.7585
O: 0.2069 0.2224 0.4517
O: 0.7069 0.2776 0.9517
O: 0.5855 0.0272 0.2415
O: 0.7931 0.7776 0.5483
O: 0.2238 0.2072 0.0458
Ba: 0.0102 0.9672 0.2499
La: 0.0000 0.5000 0.0000
O: 0.0855 0.4728 0.7415

Output
The calculation puts the total energy at -7.36 eV/atom. As for the symmetry: P2_1/c.

# 17
Compound: FeCoPt3
Source: the Alexandria database
Functional: PBE
Structure: optimized geometry

a b c (Å): 4.5379 4.5379 4.5379
angles (deg): 90.00 90.00 90.00
Atoms (fractional coordinates):
Pt: 0.0000 0.0000 0.5000
Pt: 0.5000 0.0000 0.0000
Pt: 0.0000 0.5000 0.0000
Co: 0.5000 0.5000 0.5000
Fe: 0.0000 0.0000 0.0000

Output
As for the symmetry: Pm-3m. Its distance to the lowest polymorph of the same formula is 1475 meV/atom.

# 18
Compound: Ce6Ga2C
Source: the Alexandria database
Functional: PBE
Structure: optimized geometry

a b c (Å): 3.4097 8.5521 8.2828
angles (deg): 121.08 90.00 90.00
Atoms (fractional coordinates):
Ce: 0.0000 0.2701 0.0000
Ce: 0.5000 0.3720 0.3694
Ce: 0.0000 0.9755 0.1944
Ga: 0.0000 0.6759 0.3637
C: 0.5000 0.0578 0.0000
Ga: 0.0000 0.3121 0.6363
Ce: 0.0000 0.7810 0.8056
Ce: 0.5000 0.0026 0.6306
Ce: 0.5000 0.5531 0.0000

Output
As for the symmetry: Amm2. Its distance to the lowest polymorph of the same formula is 52 meV/atom.

# 19
Compound: FeHg2Sb
Source: the Alexandria database
Functional: PBE
Structure: optimized geometry

a b c (Å): 10.2302 10.2302 7.6131
angles (deg): 47.79 47.79 90.00
Atoms (fractional coordinates):
Fe: 0.5000 0.5000 0.0000
Sb: 0.7500 0.2500 0.5000
Sb: 0.0000 0.0000 0.0000
Hg: 0.8750 0.6240 0.7500
Hg: 0.3750 0.6260 0.7500
Fe: 0.2500 0.7500 0.5000
Hg: 0.3740 0.1250 0.2500
Hg: 0.3760 0.6250 0.2500

Output
The calculation puts the total energy at -2.95 eV/atom. As for the symmetry: I-42d.

# 20
Compound: CoOsRh2
Source: the Alexandria database
Functional: PBE
Structure: optimized geometry

a b c (Å): 2.6897 2.6897 7.4000
angles (deg): 90.00 90.00 90.00
Atoms (fractional coordinates):
Co: 0.0000 0.0000 0.5041
Os: 0.5000 0.5000 0.7372
Rh: 0.5000 0.5000 0.2646
Rh: 0.0000 0.0000 0.9941

Output
As for the symmetry: P4mm. Its distance to the lowest polymorph of the same formula is 8 meV/atom.